# 1
An optimized crystal structure of Zr2AgF. Source: the Alexandria database, functional GGA-PBEsol.

Properties
- Uncorrected formation energy: -493 meV per atom
- Final energy: -6.347 eV per atom
- Mass density: 7.33 Mg/m³
- Crystal system: cubic

Cell and atoms, written as CIF:
```
data_Zr2AgF
_chemical_formula_sum 'Zr8 Ag4 F4'
_cell_length_a 6.545
_cell_length_b 6.545
_cell_length_c 6.545
_cell_angle_alpha 90.00
_cell_angle_beta 90.00
_cell_angle_gamma 90.00
_symmetry_space_group_name_H-M 'F m -3 m'
_symmetry_Int_Tables_number 225
_symmetry_space_group_name_Hall '-F 4 2 3'
loop_
_atom_site_label
_atom_site_fract_x
_atom_site_fract_y
_atom_site_fract_z
Zr1 0.250 0.250 0.250
Ag1 0.000 0.000 0.000
F1 0.000 0.000 0.500
```



# 2
An optimized crystal structure of Ta5Mo3. Source: the Alexandria database, functional GGA-PBEsol.

Properties
- E_form: -0.117 eV per atom
- Final energy: -12.375 eV per atom
- E above lowest polymorph: 14.4 meV per atom
- Mass density: 14.90 Mg/m³
- Crystal system: orthorhombic

Cell and atoms, written as CIF:
```
data_Ta5Mo3
_chemical_formula_sum 'Ta10 Mo6'
_cell_length_a 3.206
_cell_length_b 4.539
_cell_length_c 18.264
_cell_angle_alpha 90.00
_cell_angle_beta 90.00
_cell_angle_gamma 90.00
_symmetry_space_group_name_H-M 'I m m 2'
_symmetry_Int_Tables_number 44
loop_
_symmetry_equiv_pos_as_xyz
'x,y,z'
'-x,-y,z'
'-x,y,z'
'x,-y,z'
'x+1/2,y+1/2,z+1/2'
'-x+1/2,-y+1/2,z+1/2'
'-x+1/2,y+1/2,z+1/2'
'x+1/2,-y+1/2,z+1/2'
loop_
_atom_site_label
_atom_site_fract_x
_atom_site_fract_y
_atom_site_fract_z
Ta1 0.000 0.000 0.000
Ta2 0.000 0.000 0.247
Ta3 0.000 0.000 0.746
Ta4 0.000 0.500 0.119
Ta5 0.000 0.500 0.372
Mo1 0.000 0.000 0.494
Mo2 0.000 0.500 0.622
Mo3 0.000 0.500 0.875
```



# 3
An optimized crystal structure of ScCo2B. Source: the Alexandria database, functional GGA-PBEsol.

Properties
- E_form: 0.093 eV per atom
- Final energy: -7.181 eV per atom
- Mass density: 5.41 Mg/m³
- Crystal system: tetragonal

Cell and atoms, written as CIF:
```
data_ScCo2B
_chemical_formula_sum 'Sc4 Co8 B4'
_cell_length_a 3.977
_cell_length_b 3.977
_cell_length_c 13.485
_cell_angle_alpha 90.00
_cell_angle_beta 90.00
_cell_angle_gamma 90.00
_symmetry_space_group_name_H-M 'I -4 2 d'
_symmetry_Int_Tables_number 122
_symmetry_space_group_name_Hall 'I -4 2bw'
loop_
_atom_site_label
_atom_site_fract_x
_atom_site_fract_y
_atom_site_fract_z
Sc1 0.000 0.000 0.000
Co1 0.090 0.250 0.625
B1 0.000 0.000 0.500
```



# 4
An optimized crystal structure of Ca3MgH. Source: the Alexandria database, functional GGA-PBEsol.

Properties
- Final energy: -2.460 eV per atom
- Mass density: 1.83 Mg/m³
- Crystal system: cubic

Cell and atoms, written as CIF:
```
data_Ca3MgH
_chemical_formula_sum 'Ca3 Mg1 H1'
_cell_length_a 5.091
_cell_length_b 5.091
_cell_length_c 5.091
_cell_angle_alpha 90.00
_cell_angle_beta 90.00
_cell_angle_gamma 90.00
_symmetry_space_group_name_H-M 'P m -3 m'
_symmetry_Int_Tables_number 221
_symmetry_space_group_name_Hall '-P 4 2 3'
loop_
_atom_site_label
_atom_site_fract_x
_atom_site_fract_y
_atom_site_fract_z
Ca1 0.000 0.000 0.500
Mg1 0.500 0.500 0.500
H1 0.000 0.000 0.000
```



# 5
An optimized crystal structure of La5Al15Cu4Au. Source: the Alexandria database, functional GGA-PBEsol.

Properties
- E_form: -0.510 eV per atom
- Final energy: -4.884 eV per atom
- Mass density: 5.30 Mg/m³
- Crystal system: tetragonal

Cell and atoms, written as CIF:
```
data_La5Al15Cu4Au
_chemical_formula_sum 'La10 Al30 Cu8 Au2'
_cell_length_a 4.284
_cell_length_b 4.284
_cell_length_c 52.933
_cell_angle_alpha 90.00
_cell_angle_beta 90.00
_cell_angle_gamma 90.00
_symmetry_space_group_name_H-M 'I 4 m m'
_symmetry_Int_Tables_number 107
_symmetry_space_group_name_Hall 'I 4 -2'
loop_
_atom_site_label
_atom_site_fract_x
_atom_site_fract_y
_atom_site_fract_z
La1 0.000 0.000 0.000
La2 0.000 0.000 0.198
La3 0.000 0.000 0.400
La4 0.000 0.000 0.599
La5 0.000 0.000 0.797
Al1 0.000 0.000 0.117
Al2 0.000 0.000 0.315
Al3 0.000 0.000 0.518
Al4 0.000 0.000 0.716
Al5 0.000 0.000 0.919
Al6 0.000 0.500 0.050
Al7 0.000 0.500 0.149
Al8 0.000 0.500 0.248
Al9 0.000 0.500 0.347
Al10 0.000 0.500 0.450
Cu1 0.000 0.000 0.072
Cu2 0.000 0.000 0.270
Cu3 0.000 0.000 0.473
Cu4 0.000 0.000 0.671
Au1 0.000 0.000 0.872
```



# 6
An optimized crystal structure of NaLiB4O7. Source: the Alexandria database, functional GGA-PBEsol.

Properties
- Uncorrected formation energy: -2436 meV per atom
- Final energy: -7.680 eV per atom
- Mass density: 2.56 Mg/m³
- Crystal system: orthorhombic

Cell and atoms, written as CIF:
```
data_NaLiB4O7
_chemical_formula_sum 'Na16 Li16 B64 O112'
_cell_length_a 13.239
_cell_length_b 14.234
_cell_length_c 10.214
_cell_angle_alpha 90.00
_cell_angle_beta 90.00
_cell_angle_gamma 90.00
_symmetry_space_group_name_H-M 'F d d 2'
_symmetry_Int_Tables_number 43
_symmetry_space_group_name_Hall 'F 2 -2d'
loop_
_atom_site_label
_atom_site_fract_x
_atom_site_fract_y
_atom_site_fract_z
Na1 0.099 0.240 0.000
Li1 0.002 0.370 0.756
B1 0.035 0.423 0.472
B2 0.044 0.121 0.568
B3 0.087 0.474 0.950
B4 0.123 0.294 0.339
O1 0.000 0.000 0.366
O2 0.000 0.000 0.888
O3 0.039 0.095 0.078
O4 0.044 0.334 0.403
O5 0.056 0.394 0.036
O6 0.071 0.201 0.629
O7 0.117 0.055 0.536
O8 0.118 0.204 0.287
```



# 7
An optimized crystal structure of ScCd2Cu. Source: the Alexandria database, functional GGA-PBEsol.

Properties
- E_form: -0.164 eV per atom
- Final energy: -3.497 eV per atom
- Mass density: 7.56 Mg/m³
- Crystal system: tetragonal

Cell and atoms, written as CIF:
```
data_ScCd2Cu
_chemical_formula_sum 'Sc1 Cd2 Cu1'
_cell_length_a 3.126
_cell_length_b 3.126
_cell_length_c 7.493
_cell_angle_alpha 90.00
_cell_angle_beta 90.00
_cell_angle_gamma 90.00
_symmetry_space_group_name_H-M 'P 4 m m'
_symmetry_Int_Tables_number 99
loop_
_symmetry_equiv_pos_as_xyz
'x,y,z'
'-y,x,z'
'-x,-y,z'
'y,-x,z'
'-x,y,z'
'y,x,z'
'x,-y,z'
'-y,-x,z'
loop_
_atom_site_label
_atom_site_fract_x
_atom_site_fract_y
_atom_site_fract_z
Sc1 0.000 0.000 0.000
Cd1 0.000 0.000 0.568
Cd2 0.500 0.500 0.288
Cu1 0.500 0.500 0.785
```



# 8
An optimized crystal structure of Ni3Te4. Source: the Alexandria database, functional GGA-PBEsol.

Properties
- Uncorrected formation energy: -208 meV per atom
- Final energy: -4.861 eV per atom
- Mass density: 8.09 Mg/m³
- Crystal system: monoclinic

Cell and atoms, written as CIF:
```
data_Ni3Te4
_chemical_formula_sum 'Ni6 Te8'
_cell_length_a 6.583
_cell_length_b 3.818
_cell_length_c 11.435
_cell_angle_alpha 90.00
_cell_angle_beta 101.30
_cell_angle_gamma 90.00
_symmetry_space_group_name_H-M 'C 1 2/m 1'
_symmetry_Int_Tables_number 12
loop_
_symmetry_equiv_pos_as_xyz
'x,y,z'
'-x,-y,-z'
'-x,y,-z'
'x,-y,z'
'x+1/2,y+1/2,z'
'-x+1/2,-y+1/2,-z'
'-x+1/2,y+1/2,-z'
'x+1/2,-y+1/2,z'
loop_
_atom_site_label
_atom_site_fract_x
_atom_site_fract_y
_atom_site_fract_z
Ni1 0.000 0.000 0.000
Ni2 0.151 0.000 0.453
Te1 0.049 0.500 0.650
Te2 0.205 0.500 0.115
```



final energy of number 5 (La5Al15Cu4Au)?
-4.884 eV per atom